No. 1
ZnAsCl2 | GGA-PBE | optimized geometry

a b c (Å): 3.2399 3.2399 8.4151
angles (deg): 90.00 90.00 90.00
Fractional positions:
1 Zn 0.0000 0.0000 0.5118
2 Cl 0.5000 0.5000 0.3488
3 As 0.5000 0.5000 0.7184
4 Cl 0.0000 0.0000 0.9211

## Properties
* DOS at the Fermi energy: 0.337 states/eV per cell
* density: 3.97 g/cm³
* total magnetic moment: 0.00 μB per formula unit
* E: -10.11 eV for the cell shown
* polymorph energy (0 for the lowest one): 303.5 meV per atom
* raw formation energy: -0.5 eV/f.u.

---

No. 2
SeBr3 | GGA-PBE | optimized geometry

a b c (Å): 5.2114 5.2114 3.6396
angles (deg): 90.00 90.00 90.00
Fractional positions:
1 Br 0.5000 0.0000 0.5000
2 Br 0.0000 0.0000 0.0000
3 Se 0.0000 0.5000 0.5000
4 Br 0.5000 0.5000 0.0000

## Properties
* DOS at the Fermi energy: 5.380 states/eV per cell
* density: 5.35 g/cm³
* total magnetic moment: 0.00 μB per formula unit
* E: -5.66 eV for the cell shown
* raw formation energy: 2.8 eV/f.u.

---

No. 3
YInPd | GGA-PBE | optimized geometry

a b c (Å): 3.8176 7.7648 7.7648
angles (deg): 120.02 90.00 90.00
Fractional positions:
1 Pd 0.0000 0.3333 0.6666
2 Y 0.5000 0.0000 0.5928
3 In 0.0000 0.7395 0.7395
4 In 0.0000 0.2606 0.0000
5 Y 0.5000 0.5928 0.0000
6 Pd 0.0000 0.6666 0.3333
7 In 0.0000 0.0000 0.2606
8 Y 0.5000 0.4071 0.4071
9 Pd 0.5000 0.0001 0.0001

## Properties
* DOS at the Fermi energy: 8.549 states/eV per cell
* density: 7.75 g/cm³
* total magnetic moment: 0.00 μB per formula unit
* E: -50.58 eV for the cell shown
* formation enthalpy at 0 K: -0.8213 eV per atom

---

No. 4
TlIn2Os | GGA-PBE | optimized geometry

a b c (Å): 3.2109 3.2114 8.8510
angles (deg): 90.00 90.00 90.00
Fractional positions:
1 In 0.0000 0.0000 0.4385
2 Os 0.5000 0.5000 0.2500
3 In 0.0000 0.0000 0.0615
4 Tl 0.5000 0.5000 0.7500

## Properties
* DOS at the Fermi energy: 2.789 states/eV per cell
* density: 11.36 g/cm³
* total magnetic moment: 0.00 μB per formula unit
* E: -17.63 eV for the cell shown
* polymorph energy (0 for the lowest one): 0.0 meV per atom
* formation enthalpy at 0 K: 0.3596 eV per atom

---

No. 5
AlCoW2 | GGA-PBE | optimized geometry

a b c (Å): 2.7450 2.7447 7.5731
angles (deg): 90.00 90.00 90.11
Each line ends with the local moment (μB).
Fractional positions:
1 W 0.0000 0.0000 0.9844  0.00
2 W 0.0000 0.0000 0.5156  0.00
3 Co 0.5000 0.5000 0.7500  0.46
4 Al 0.5000 0.5000 0.2500  0.00

## Properties
* DOS at the Fermi energy: 2.369 states/eV per cell
* density: 13.20 g/cm³
* total magnetic moment: 0.44 μB per formula unit
* E: -36.66 eV for the cell shown
* formation enthalpy at 0 K: 0.0240 eV per atom

---

No. 6
LiHfOs2O | GGA-PBE | optimized geometry

a b c (Å): 4.8026 5.7105 4.8026
angles (deg): 90.00 90.00 90.00
Each line ends with the local moment (μB).
Fractional positions:
1 Li 0.0000 0.5000 0.0000  -0.04
2 Hf 0.0000 0.0000 0.0000  -0.26
3 Os 0.0000 0.0000 0.5000  1.21
4 Os 0.5000 0.0000 0.0000  1.44
5 O 0.5000 0.5000 0.5000  1.07

## Properties
* DOS at the Fermi energy: 3.637 states/eV per cell
* density: 7.34 g/cm³
* total magnetic moment: 3.63 μB per formula unit
* E: -28.09 eV for the cell shown
* raw formation energy: 11.2 eV/f.u.

---

Among the records above, which one has the lowest DOS at the Fermi energy? ZnAsCl2